# Ce3PdRu (PBE, relaxed)
# Energy of formation from the pure elements, meV/atom: -390
# Uncorrected energy, eV/f.u.: -34.2
data_Ce3PdRu
_space_group_name_H-M_alt 'P -1'
_space_group_IT_number 2
_cell_length_a 3.606
_cell_length_b 6.731
_cell_length_c 9.074
_cell_angle_alpha 91.84
_cell_angle_beta 101.37
_cell_angle_gamma 90.04
loop_
_space_group_symop_operation_xyz
'x,y,z'
'-x,-y,-z'
loop_
_atom_site_label
_atom_site_type_symbol
_atom_site_fract_x
_atom_site_fract_y
_atom_site_fract_z
Ce1 Ce 0.089 0.426 0.176
Ce2 Ce 0.100 0.965 0.199
Ce3 Ce 0.307 0.373 0.614
Pd1 Pd 0.288 0.862 0.576
Ru1 Ru 0.485 0.215 0.969